No. 1
The following is a DFT calculation (PBE) of a relaxed AlInMoI2 crystal.

The structure in CIF format:
```
data_AlInMoI2
_chemical_formula_sum 'Al1 In1 Mo1 I2'
_symmetry_space_group_name_H-M 'P 4/m m m'
_symmetry_Int_Tables_number 123
_symmetry_space_group_name_Hall '-P 4 2'
_cell_length_a 5.778
_cell_length_b 5.778
_cell_length_c 5.349
_cell_angle_alpha 90.00
_cell_angle_beta 90.00
_cell_angle_gamma 90.00
loop_
_atom_site_label
_atom_site_type_symbol
_atom_site_fract_x
_atom_site_fract_y
_atom_site_fract_z
Al1 Al 0.000 0.000 0.000
In1 In 0.000 0.000 0.500
Mo1 Mo 0.500 0.500 0.500
I1 I 0.000 0.500 0.000
```

Results
Its magnetic moment is 5.640 μB per formula unit. The value obtained for the density of states at the Fermi level is 2.93 states/eV/f.u. For the formation energy without anion corrections, the calculation gives 920.2 meV/atom. For the total energy, the calculation gives -15.8 eV per cell.

No. 2
The following is a DFT calculation (PBE) of a relaxed NbAlIn2I crystal.

The structure in CIF format:
```
data_NbAlIn2I
_chemical_formula_sum 'Nb1 Al1 In2 I1'
_symmetry_space_group_name_H-M 'P 4/m m m'
_symmetry_Int_Tables_number 123
_symmetry_space_group_name_Hall '-P 4 2'
_cell_length_a 5.951
_cell_length_b 5.951
_cell_length_c 5.350
_cell_angle_alpha 90.00
_cell_angle_beta 90.00
_cell_angle_gamma 90.00
loop_
_atom_site_label
_atom_site_type_symbol
_atom_site_fract_x
_atom_site_fract_y
_atom_site_fract_z
Nb1 Nb 0.000 0.000 0.000
Al1 Al 0.500 0.500 0.000
In1 In 0.000 0.500 0.500
I1 I 0.500 0.500 0.500
```

Results
Its magnetic moment is 3.927 μB per formula unit. The value obtained for the density of states at the Fermi level is 7.78 states/eV/f.u. For the formation energy without anion corrections, the calculation gives 1496.9 meV/atom. For the total energy, the calculation gives -13.4 eV per cell.

No. 3
The following is a DFT calculation (PBE) of a relaxed RbAl2InI8 crystal.

The structure in CIF format:
```
data_RbAl2InI8
_chemical_formula_sum 'Rb1 Al2 In1 I8'
_symmetry_space_group_name_H-M 'P -3'
_symmetry_Int_Tables_number 147
_symmetry_space_group_name_Hall '-P 3'
_cell_length_a 7.6229
_cell_length_b 7.6229
_cell_length_c 11.6912
_cell_angle_alpha 90.00
_cell_angle_beta 90.00
_cell_angle_gamma 120.00
loop_
_atom_site_label
_atom_site_type_symbol
_atom_site_fract_x
_atom_site_fract_y
_atom_site_fract_z
Rb1 Rb 0.0000 0.0000 0.0000
Al1 Al 0.3333 0.6667 0.7716
In1 In 0.0000 0.0000 0.5000
I1 I 0.0109 0.3482 0.7025
I2 I 0.3333 0.6667 0.9903
```

Results
Its magnetic moment is 0.000 μB per formula unit. The value obtained for the density of states at the Fermi level is 0.00 states/eV/f.u. For the formation energy without anion corrections, the calculation gives -795.2 meV/atom. For the total energy, the calculation gives -33.1 eV per cell.

No. 4
The following is a DFT calculation (PBE) of a relaxed AlInS2I crystal.

The structure in CIF format:
```
data_AlInS2I
_chemical_formula_sum 'Al1 In1 S2 I1'
_symmetry_space_group_name_H-M 'P 4/m m m'
_symmetry_Int_Tables_number 123
_symmetry_space_group_name_Hall '-P 4 2'
_cell_length_a 4.540
_cell_length_b 4.540
_cell_length_c 7.552
_cell_angle_alpha 90.00
_cell_angle_beta 90.00
_cell_angle_gamma 90.00
loop_
_atom_site_label
_atom_site_type_symbol
_atom_site_fract_x
_atom_site_fract_y
_atom_site_fract_z
Al1 Al 0.000 0.000 0.000
In1 In 0.000 0.000 0.500
S1 S 0.000 0.500 0.000
I1 I 0.500 0.500 0.500
```

Results
Its magnetic moment is 0.000 μB per formula unit. The value obtained for the density of states at the Fermi level is 2.18 states/eV/f.u. For the formation energy without anion corrections, the calculation gives -142.3 meV/atom. For the total energy, the calculation gives -17.0 eV per cell.

No. 5
The following is a DFT calculation (PBE) of a relaxed AlInSbI2 crystal.

The structure in CIF format:
```
data_AlInSbI2
_chemical_formula_sum 'Al1 In1 Sb1 I2'
_symmetry_space_group_name_H-M 'P 4/m m m'
_symmetry_Int_Tables_number 123
_symmetry_space_group_name_Hall '-P 4 2'
_cell_length_a 5.678
_cell_length_b 5.678
_cell_length_c 5.404
_cell_angle_alpha 90.00
_cell_angle_beta 90.00
_cell_angle_gamma 90.00
loop_
_atom_site_label
_atom_site_type_symbol
_atom_site_fract_x
_atom_site_fract_y
_atom_site_fract_z
Al1 Al 0.000 0.000 0.000
In1 In 0.500 0.500 0.500
Sb1 Sb 0.000 0.000 0.500
I1 I 0.000 0.500 0.000
```

Results
Its magnetic moment is 0.000 μB per formula unit. The value obtained for the density of states at the Fermi level is 2.17 states/eV/f.u. For the formation energy without anion corrections, the calculation gives 25.8 meV/atom. For the total energy, the calculation gives -13.6 eV per cell.

No. 6
The following is a DFT calculation (PBE) of a relaxed AlInSbI2 crystal.

The structure in CIF format:
```
data_AlInSbI2
_chemical_formula_sum 'Al1 In1 Sb1 I2'
_symmetry_space_group_name_H-M 'P 4/m m m'
_symmetry_Int_Tables_number 123
_symmetry_space_group_name_Hall '-P 4 2'
_cell_length_a 6.088
_cell_length_b 6.088
_cell_length_c 5.785
_cell_angle_alpha 90.00
_cell_angle_beta 90.00
_cell_angle_gamma 90.00
loop_
_atom_site_label
_atom_site_type_symbol
_atom_site_fract_x
_atom_site_fract_y
_atom_site_fract_z
Al1 Al 0.000 0.000 0.000
In1 In 0.500 0.500 0.500
Sb1 Sb 0.500 0.500 0.000
I1 I 0.000 0.500 0.500
```

Results
Its magnetic moment is 1.466 μB per formula unit. The value obtained for the density of states at the Fermi level is 2.70 states/eV/f.u. For the formation energy without anion corrections, the calculation gives 360.4 meV/atom. For the total energy, the calculation gives -11.9 eV per cell.

No. 7
The following is a DFT calculation (PBE) of a relaxed AlInTeI2 crystal.

The structure in CIF format:
```
data_AlInTeI2
_chemical_formula_sum 'Al1 In1 Te1 I2'
_symmetry_space_group_name_H-M 'P 4/m m m'
_symmetry_Int_Tables_number 123
_symmetry_space_group_name_Hall '-P 4 2'
_cell_length_a 5.672
_cell_length_b 5.672
_cell_length_c 5.455
_cell_angle_alpha 90.00
_cell_angle_beta 90.00
_cell_angle_gamma 90.00
loop_
_atom_site_label
_atom_site_type_symbol
_atom_site_fract_x
_atom_site_fract_y
_atom_site_fract_z
Al1 Al 0.000 0.000 0.000
In1 In 0.500 0.500 0.500
Te1 Te 0.000 0.000 0.500
I1 I 0.000 0.500 0.000
```

Results
Its magnetic moment is 0.000 μB per formula unit. The value obtained for the density of states at the Fermi level is 2.83 states/eV/f.u. For the formation energy without anion corrections, the calculation gives -202.1 meV/atom. For the total energy, the calculation gives -13.7 eV per cell.

No. 8
The following is a DFT calculation (PBE) of a relaxed AlInTeI2 crystal.

The structure in CIF format:
```
data_AlInTeI2
_chemical_formula_sum 'Al1 In1 Te1 I2'
_symmetry_space_group_name_H-M 'P 4/m m m'
_symmetry_Int_Tables_number 123
_symmetry_space_group_name_Hall '-P 4 2'
_cell_length_a 5.954
_cell_length_b 5.954
_cell_length_c 5.736
_cell_angle_alpha 90.00
_cell_angle_beta 90.00
_cell_angle_gamma 90.00
loop_
_atom_site_label
_atom_site_type_symbol
_atom_site_fract_x
_atom_site_fract_y
_atom_site_fract_z
Al1 Al 0.000 0.000 0.000
In1 In 0.500 0.500 0.500
Te1 Te 0.500 0.500 0.000
I1 I 0.000 0.500 0.500
```

Results
Its magnetic moment is 0.000 μB per formula unit. The value obtained for the density of states at the Fermi level is 3.20 states/eV/f.u. For the formation energy without anion corrections, the calculation gives 128.8 meV/atom. For the total energy, the calculation gives -12.1 eV per cell.